SrScAl2: PBEsol geometry, meta-GGA SCAN.

Formation energy   -37 meV per atom
V   94.7 Å³/cell
E   -13.041 eV/atom

Structure (POSCAR):
```
SrScAl2
1.0
3.548 0.000 0.000
0.000 5.058 0.000
-1.774 -2.529 5.277
Sr Al Sc
1 2 1
direct
0.267 0.767 0.533
0.718 0.218 0.437
0.032 0.032 0.064
0.483 0.483 0.967
```


Sc2TaAl: PBEsol geometry, meta-GGA SCAN.

Formation energy   -80 meV per atom
V   75.4 Å³/cell
E   -25.783 eV/atom

Structure (POSCAR):
```
Sc2TaAl
1.0
4.129 0.000 0.000
0.000 4.129 0.000
-2.065 -2.065 4.422
Sc Ta Al
2 1 1
direct
0.250 0.750 0.500
0.750 0.250 0.500
0.500 0.500 0.000
0.000 0.000 0.000
```


ScTaAl2: PBEsol geometry, meta-GGA SCAN.

Formation energy   475 meV per atom
V   156.5 Å³/cell
E   -23.606 eV/atom

Structure (POSCAR):
```
ScTaAl2
1.0
-2.286 3.201 -0.740
-2.192 -0.815 3.248
8.211 4.324 4.161
Ta Al Sc
2 4 2
direct
0.000 0.000 0.000
0.250 0.750 0.500
0.348 0.875 0.250
0.902 0.375 0.250
0.125 0.098 0.750
0.625 0.652 0.750
0.750 0.250 0.500
0.500 0.500 0.000
```


ScTaAl2: PBEsol geometry, meta-GGA SCAN.

Formation energy   -319 meV per atom
V   69.4 Å³/cell
E   -24.400 eV/atom

Structure (POSCAR):
```
ScTaAl2
1.0
-1.863 -1.297 1.816
1.791 -3.579 -0.719
3.691 0.950 4.465
Ta Al Sc
1 2 1
direct
0.500 0.500 0.500
0.000 0.000 0.733
0.000 0.000 0.267
0.500 0.500 0.000
```


ScTaAl2: PBEsol geometry, meta-GGA SCAN.

Formation energy   -354 meV per atom
V   69.5 Å³/cell
E   -24.436 eV/atom

Structure (POSCAR):
```
ScTaAl2
1.0
2.873 0.000 0.000
0.000 2.873 0.000
0.000 0.000 8.423
Sc Al Ta
1 2 1
direct
0.500 0.500 0.000
0.000 0.000 0.261
0.000 0.000 0.739
0.500 0.500 0.500
```


ScTaAl4: PBEsol geometry, meta-GGA SCAN.

Formation energy   -360 meV per atom
V   98.3 Å³/cell
E   -18.998 eV/atom

Structure (POSCAR):
```
ScTaAl4
1.0
-3.013 1.274 4.016
-2.579 -3.682 2.574
1.425 -1.276 4.814
Al Sc Ta
4 1 1
direct
0.375 0.375 0.375
0.375 0.876 0.375
0.876 0.375 0.375
0.375 0.375 0.876
0.750 0.750 0.750
0.000 0.000 0.000
```


ScTaAl2: PBEsol geometry, meta-GGA SCAN.

Formation energy   -104 meV per atom
V   72.5 Å³/cell
E   -24.185 eV/atom

Structure (POSCAR):
```
ScTaAl2
1.0
2.976 0.000 0.000
1.488 2.578 0.000
1.488 0.859 9.445
Al Sc Ta
2 1 1
direct
0.254 0.254 0.239
0.746 0.746 0.761
0.500 0.500 0.500
0.000 0.000 0.000
```


Sc2TaAl: PBEsol geometry, meta-GGA SCAN.

Formation energy   37 meV per atom
V   76.0 Å³/cell
E   -25.665 eV/atom

Structure (POSCAR):
```
Sc2TaAl
1.0
3.160 0.000 0.000
0.000 4.873 0.000
-1.580 -2.436 4.935
Al Sc Ta
1 2 1
direct
0.000 0.500 0.000
0.745 0.745 0.490
0.255 0.255 0.510
0.500 0.000 0.000
```


Question: Which of these has the lowest V?
Answer: number 4